Record 1
Below is a relaxed BaHo2Mg crystal, with properties calculated at the PBE-GGA level.

- total magnetic moment (μB/atom) = 0.00
- energy (eV/cell) = -12.22
- density of states at the Fermi level (states/eV per cell) = 4.23
- symmetry = P4/mmm
- energy relative to the lowest polymorph listed for this composition (meV per atom) = 0

abc: 3.830 3.830 9.552
angles: 90.00 90.00 90.00
Fractional coordinates of all 4 atoms:
1 Ba 0.000 0.000 0.000
2 Ho 0.500 0.500 0.314
3 Ho 0.500 0.500 0.686
4 Mg 0.000 0.000 0.500

=====

Record 2
Below is a relaxed Y2CoNi3As4 crystal, with properties calculated at the PBE-GGA level.

- total magnetic moment (μB/atom) = 0.10
- energy (eV/cell) = -63.61
- density of states at the Fermi level (states/eV per cell) = 4.57
- symmetry = P-4m2

abc: 4.115 4.115 9.564
angles: 90.00 90.00 90.00
Fractional coordinates of all 10 atoms:
1 Y 0.000 0.500 0.247
2 Y 0.500 0.000 0.753
3 Co 0.500 0.500 0.000
4 Ni 0.000 0.000 0.000
5 Ni 0.000 0.500 0.624
6 Ni 0.500 0.000 0.376
7 As 0.000 0.000 0.500
8 As 0.000 0.500 0.869
9 As 0.500 0.000 0.131
10 As 0.500 0.500 0.500

=====

Record 3
Below is a relaxed LaPrSc crystal, with properties calculated at the PBE-GGA level.

- total magnetic moment (μB/atom) = 0.00
- energy (eV/cell) = -31.68
- density of states at the Fermi level (states/eV per cell) = 10.15
- symmetry = P2_1/m
- energy relative to the lowest polymorph listed for this composition (meV per atom) = 0

abc: 5.140 5.146 7.767
angles: 90.00 109.20 90.00
Fractional coordinates of all 6 atoms:
1 La 0.091 0.250 0.180
2 La 0.909 0.750 0.820
3 Pr 0.409 0.250 0.819
4 Pr 0.591 0.750 0.181
5 Sc 0.250 0.750 0.499
6 Sc 0.750 0.250 0.501

=====

Record 4
Below is a relaxed PrZnInHg crystal, with properties calculated at the PBE-GGA level.

- total magnetic moment (μB/atom) = 0.00
- energy (eV/cell) = -10.43
- density of states at the Fermi level (states/eV per cell) = 1.35
- symmetry = F-43m

abc: 5.154 5.154 5.154
angles: 60.00 60.00 60.00
Fractional coordinates of all 4 atoms:
1 Pr 0.000 0.000 0.000
2 Zn 0.750 0.750 0.750
3 In 0.500 0.500 0.500
4 Hg 0.250 0.250 0.250

=====

Record 5
Below is a relaxed BaSnPt3 crystal, with properties calculated at the PBE-GGA level.

- total magnetic moment (μB/atom) = 0.00
- energy (eV/cell) = -17.22
- density of states at the Fermi level (states/eV per cell) = 4.75
- symmetry = Pm-3m
- energy relative to the lowest polymorph listed for this composition (meV per atom) = 1604

abc: 5.363 5.363 5.363
angles: 90.00 90.00 90.00
Fractional coordinates of all 5 atoms:
1 Ba 0.000 0.000 0.000
2 Sn 0.500 0.500 0.500
3 Pt 0.000 0.000 0.500
4 Pt 0.000 0.500 0.000
5 Pt 0.500 0.000 0.000

=====

Record 6
Below is a relaxed Cr5Ir crystal, with properties calculated at the PBE-GGA level.

- total magnetic moment (μB/atom) = 0.00
- energy (eV/cell) = -56.79
- density of states at the Fermi level (states/eV per cell) = 5.82
- symmetry = Cmmm
- energy relative to the lowest polymorph listed for this composition (meV per atom) = 37

abc: 6.267 6.267 4.176
angles: 90.00 90.00 153.47
Fractional coordinates of all 6 atoms:
1 Cr 0.000 0.000 0.000
2 Cr 0.178 0.822 0.500
3 Cr 0.336 0.664 0.000
4 Cr 0.664 0.336 0.000
5 Cr 0.822 0.178 0.500
6 Ir 0.500 0.500 0.500

=====

Record 7
Below is a relaxed AlAs2Os crystal, with properties calculated at the PBE-GGA level.

- total magnetic moment (μB/atom) = 0.00
- energy (eV/cell) = -46.91
- density of states at the Fermi level (states/eV per cell) = 6.46
- symmetry = I-42d

abc: 6.811 6.811 6.811
angles: 130.25 130.25 73.01
Fractional coordinates of all 8 atoms:
1 Al 0.000 0.000 0.000
2 Al 0.750 0.250 0.500
3 As 0.142 0.625 0.017
4 As 0.375 0.392 0.517
5 As 0.608 0.125 0.983
6 As 0.875 0.858 0.483
7 Os 0.250 0.750 0.500
8 Os 0.500 0.500 0.000

=====

Record 8
Below is a relaxed PuAl4Ga crystal, with properties calculated at the PBE-GGA level.

- total magnetic moment (μB/atom) = 0.96
- energy (eV/cell) = -62.53
- density of states at the Fermi level (states/eV per cell) = 29.18
- symmetry = I4_1/amd
- energy relative to the lowest polymorph listed for this composition (meV per atom) = 354

abc: 10.920 10.920 10.920
angles: 152.80 152.80 38.85
Fractional coordinates of all 12 atoms:
1 Pu 0.375 0.625 0.750
2 Pu 0.625 0.375 0.250
3 Al 0.230 0.234 0.504
4 Al 0.230 0.725 0.996
5 Al 0.234 0.230 0.004
6 Al 0.275 0.770 0.504
7 Al 0.725 0.230 0.496
8 Al 0.766 0.770 0.996
9 Al 0.770 0.275 0.004
10 Al 0.770 0.766 0.496
11 Ga 0.125 0.875 0.250
12 Ga 0.875 0.125 0.750

=====

Q: Which value of energy does entry 2 give?
A: -63.61 eV/cell